No. 1
{
  "formula": "Pm5SmY4",
  "functional": "PBE",
  "state": "relaxed",
  "lattice": [[-5.599, 1.629, 1.741], [-5.501, -5.696, -1.726], [-1.631, -2.348, 7.584]],
  "species": ["Pm", "Pm", "Pm", "Pm", "Pm", "Sm", "Y", "Y", "Y", "Y"],
  "fractional_positions": [[0.763, 0.377, 0.000], [0.141, 0.000, 0.623], [0.763, 0.000, 0.377], [0.140, 0.623, 0.000], [0.685, 0.000, 0.000], [0.219, 0.000, 0.000], [0.450, 0.325, 0.675], [0.775, 0.675, 0.675], [0.125, 0.325, 0.325], [0.450, 0.675, 0.325]],
  "rho_g_cm3": 6.0,
  "de_polymorph_ev_per_atom": 0.037,
  "magnetic_moment_mub_per_fu": 0.00,
  "space_group": "I4mm",
  "ef_mev_per_atom": 252
}

***

No. 2
{
  "formula": "Pm4SmY6",
  "functional": "PBE",
  "state": "relaxed",
  "lattice": [[-1.443, -0.761, 3.212], [-3.550, -9.653, -3.884], [9.938, 0.738, 4.642]],
  "species": ["Pm", "Pm", "Pm", "Pm", "Sm", "Y", "Y", "Y", "Y", "Y", "Y"],
  "fractional_positions": [[0.500, 0.840, 0.680], [0.500, 0.320, 0.160], [0.500, 0.840, 0.160], [0.000, 0.333, 0.667], [0.000, 0.000, 0.000], [0.000, 0.521, 0.042], [0.500, 0.631, 0.816], [0.000, 0.521, 0.479], [0.000, 0.958, 0.479], [0.500, 0.184, 0.816], [0.500, 0.184, 0.369]],
  "rho_g_cm3": 5.6,
  "de_polymorph_ev_per_atom": 0.054,
  "magnetic_moment_mub_per_fu": 0.00,
  "space_group": "P-6m2",
  "ef_mev_per_atom": 165
}

***

No. 3
{
  "formula": "PmSm3Y2",
  "functional": "PBE",
  "state": "relaxed",
  "lattice": [[-2.903, -6.216, 2.262], [0.446, 1.815, -5.968], [10.703, -3.490, 4.098]],
  "species": ["Pm", "Pm", "Sm", "Sm", "Sm", "Sm", "Sm", "Sm", "Y", "Y", "Y", "Y"],
  "fractional_positions": [[0.125, 0.000, 0.250], [0.875, 0.000, 0.750], [0.375, 0.000, 0.750], [0.625, 0.000, 0.250], [0.958, 0.667, 0.917], [0.292, 0.333, 0.583], [0.708, 0.667, 0.417], [0.042, 0.333, 0.083], [0.208, 0.667, 0.417], [0.458, 0.667, 0.917], [0.542, 0.333, 0.083], [0.792, 0.333, 0.583]],
  "rho_g_cm3": 6.4,
  "magnetic_moment_mub_per_fu": 0.00,
  "space_group": "C2/c",
  "ef_mev_per_atom": 14
}

***

No. 4
{
  "formula": "PmSm7Y4",
  "functional": "PBE",
  "state": "relaxed",
  "lattice": [[-3.106, -0.177, -5.142], [8.108, 0.044, -8.411], [-1.407, -6.137, -2.450]],
  "species": ["Pm", "Sm", "Sm", "Sm", "Sm", "Sm", "Sm", "Sm", "Y", "Y", "Y", "Y"],
  "fractional_positions": [[0.000, 0.000, 0.000], [0.790, 0.921, 0.498], [0.210, 0.079, 0.502], [0.061, 0.674, 0.203], [0.939, 0.326, 0.797], [0.370, 0.502, 0.759], [0.500, 0.000, 0.000], [0.630, 0.498, 0.241], [0.637, 0.224, 0.502], [0.363, 0.776, 0.498], [0.752, 0.682, 0.814], [0.248, 0.318, 0.186]],
  "rho_g_cm3": 6.3,
  "de_polymorph_ev_per_atom": 0.248,
  "magnetic_moment_mub_per_fu": 0.00,
  "space_group": "C2/m",
  "ef_mev_per_atom": 247
}